Tb2Ho5Tl5 PBE optimized geometry; calculated total energy = -3.872 eV per atom; magnetization = 0.00 μB per formula unit; ρ = 10.3 g cm⁻³; ΔE_f = -2.5 eV/f.u.; volume = 349.1 Å³/f.u.
1.0
5.0295 0.0000 0.0000
-2.5147 6.0552 -0.3105
0.0000 -3.5098 11.6420
Tb Ho Tl
2 5 5
direct
0.0697 0.1393 0.7647 Tb
0.9303 0.8607 0.2353 Tb
0.5000 0.0000 0.5000 Ho
0.6512 0.3025 0.0057 Ho
0.6478 0.2956 0.2880 Ho
0.3522 0.7044 0.7120 Ho
0.3488 0.6975 0.9943 Ho
0.1533 0.3066 0.4696 Tl
0.7351 0.4703 0.7840 Tl
0.2649 0.5297 0.2160 Tl
0.8467 0.6934 0.5304 Tl
0.0000 0.0000 0.0000 Tl


Ac8Ir3Se4O PBE optimized geometry; calculated total energy = -6.378 eV per atom; magnetization = 0.00 μB per formula unit; ρ = 9.4 g cm⁻³; raw formation energy = -1.481 eV per atom; volume = 482.7 Å³/f.u.
1.0
-6.4574 4.6180 -3.2284
-5.8015 -4.2803 5.4814
6.7484 3.9453 3.5204
Ac Ir Se O
8 3 4 1
direct
0.2363 0.7172 0.9810 Ac
0.2370 0.7179 0.4740 Ac
0.2586 0.2757 0.5171 Ac
0.7447 0.7172 0.9810 Ac
0.2553 0.2828 0.0190 Ac
0.7414 0.7243 0.4829 Ac
0.7630 0.2821 0.5260 Ac
0.7637 0.2828 0.0190 Ac
0.5000 0.5000 0.0000 Ir
0.5000 0.5000 0.5000 Ir
0.0000 0.5000 0.5000 Ir
0.5000 0.0000 0.0000 Se
0.5000 0.0000 0.5000 Se
0.0000 0.0000 0.0000 Se
0.0000 0.0000 0.5000 Se
0.0000 0.5000 0.0000 O


BaAgPd2 PBE optimized geometry; calculated total energy = -4.154 eV per atom; magnetization = 0.00 μB per formula unit; ρ = 7.4 g cm⁻³; ΔE_f = -1.5 eV/f.u.; volume = 102.9 Å³/f.u.
1.0
-4.5710 -1.1819 -0.1136
-1.6127 -2.8732 -3.3831
-1.0502 -5.5603 1.9392
Ba Ag Pd
1 1 2
direct
0.5000 0.0000 0.0000 Ba
0.0000 0.5000 0.5000 Ag
0.6907 0.1905 0.4282 Pd
0.3093 0.8095 0.5718 Pd


K2CdHgTe PBE optimized geometry; calculated total energy = -1.497 eV per atom; magnetization = 0.00 μB per formula unit; ρ = 3.5 g cm⁻³; raw formation energy = -0.187 eV per atom; volume = 244.0 Å³/f.u.
1.0
-1.6420 6.2897 0.9795
-3.8858 -0.3792 -4.0790
-4.4780 -1.8603 4.4388
K Te Hg Cd
2 1 1 1
direct
0.0000 0.0000 0.5000 K
0.5000 0.0000 0.0000 K
0.0000 0.5000 0.0000 Te
0.0000 0.0000 0.0000 Hg
0.5000 0.5000 0.5000 Cd